A geometry-optimized SiAsI2 structure, computed with GGA-PBEsol.

Cell: 7.9585 7.9585 6.9887 Å, 90.00 90.00 90.00°
Space group I-42d (No. 122)
Inequivalent atoms, fractional coordinates:
Si: 0.0000 0.0000 0.0000
As: 0.0000 0.0000 0.5000
I: 0.2391 0.2500 0.1250

Computed properties:
Uncorrected formation energy in meV per atom: 634
Total DFT energy (no corrections) in eV/atom: -2.963

A geometry-optimized BeGeAu3 structure, computed with GGA-PBEsol.

Cell: 4.7640 4.7640 4.7640 Å, 90.00 90.00 90.00°
Space group Pm-3m (No. 221)
Inequivalent atoms, fractional coordinates:
Be: 0.0000 0.0000 0.0000
Ge: 0.5000 0.5000 0.5000
Au: 0.0000 0.5000 0.5000

Computed properties:
E_form in eV per atom: 0.8773
Total DFT energy (no corrections) in eV/atom: -3.265

A geometry-optimized SrRh3C structure, computed with GGA-PBEsol.

Cell: 4.1765 4.1765 4.1765 Å, 90.00 90.00 90.00°
Space group Pm-3m (No. 221)
Inequivalent atoms, fractional coordinates:
Sr: 0.0000 0.0000 0.0000
Rh: 0.0000 0.5000 0.5000
C: 0.5000 0.5000 0.5000

Computed properties:
E_form in eV per atom: -0.0763
Total DFT energy (no corrections) in eV/atom: -7.256

A geometry-optimized Cd2SeO structure, computed with GGA-PBEsol.

Cell: 5.5962 5.5962 10.9121 Å, 90.00 90.00 90.00°
Space group I-42d (No. 122)
Inequivalent atoms, fractional coordinates:
Cd: 0.1842 0.2500 0.1250
Se: 0.0000 0.0000 0.5000
O: 0.0000 0.0000 0.0000

Computed properties:
Uncorrected formation energy in meV per atom: -730
Total DFT energy (no corrections) in eV/atom: -3.604

A geometry-optimized InPt2Rh structure, computed with GGA-PBEsol.

Cell: 5.5844 7.7779 2.8576 Å, 90.00 90.00 90.00°
Space group Cmmm (No. 65)
Inequivalent atoms, fractional coordinates:
In: 0.0000 0.0000 0.0000
Pt: 0.2500 0.2500 0.5000
Rh: 0.0000 0.5000 0.0000

Computed properties:
E_form in eV per atom: -0.2363
Total DFT energy (no corrections) in eV/atom: -6.498

A geometry-optimized K2BeF4 structure, computed with GGA-PBEsol.

Cell: 9.0681 5.5501 9.1235 Å, 90.00 90.00 90.00°
Space group Pna2_1 (No. 33)
Inequivalent atoms, fractional coordinates:
K: 0.0029 0.2238 0.0000
K: 0.2350 0.6624 0.8282
Be: 0.1630 0.6260 0.2066
F: 0.0274 0.4629 0.2549
F: 0.1147 0.8731 0.1474
F: 0.2422 0.1569 0.8475
F: 0.2495 0.4757 0.0904

Computed properties:
Uncorrected formation energy in meV per atom: -3037
Total DFT energy (no corrections) in eV/atom: -5.033
ΔE to the lowest computed polymorph in eV per formula unit: 0.35

A geometry-optimized FeHg2Ru structure, computed with GGA-PBEsol.

Cell: 6.3915 6.3915 6.3915 Å, 90.00 90.00 90.00°
Space group F-43m (No. 216)
Inequivalent atoms, fractional coordinates:
Fe: 0.0000 0.0000 0.0000
Hg: 0.0000 0.0000 0.5000
Hg: 0.2500 0.2500 0.7500
Ru: 0.2500 0.2500 0.2500

Computed properties:
E_form in eV per atom: 0.6143
Total DFT energy (no corrections) in eV/atom: -4.453
ΔE to the lowest computed polymorph in eV per formula unit: 0.38

A geometry-optimized CaRe2Te structure, computed with GGA-PBEsol.

Cell: 3.8866 3.8866 4.8927 Å, 90.00 90.00 90.00°
Space group P4/mmm (No. 123)
Inequivalent atoms, fractional coordinates:
Ca: 0.0000 0.0000 0.0000
Re: 0.0000 0.5000 0.5000
Te: 0.5000 0.5000 0.0000

Computed properties:
Uncorrected formation energy in meV per atom: 704
Total DFT energy (no corrections) in eV/atom: -7.377

A geometry-optimized Zr2ScSb structure, computed with GGA-PBEsol.

Cell: 4.2835 4.2835 9.3838 Å, 90.00 90.00 90.00°
Space group I-4m2 (No. 119)
Inequivalent atoms, fractional coordinates:
Zr: 0.0000 0.0000 0.0000
Zr: 0.0000 0.5000 0.2500
Sc: 0.0000 0.0000 0.5000
Sb: 0.0000 0.5000 0.7500

Computed properties:
Uncorrected formation energy in meV per atom: -436
Total DFT energy (no corrections) in eV/atom: -7.771

A geometry-optimized Ba2GdCu3O7 structure, computed with GGA-PBEsol.

Cell: 3.8177 3.8770 11.5363 Å, 90.00 90.00 90.00°
Space group Pmmm (No. 47)
Inequivalent atoms, fractional coordinates:
Ba: 0.0000 0.0000 0.1812
Gd: 0.0000 0.0000 0.5000
Cu: 0.5000 0.5000 0.0000
Cu: 0.5000 0.5000 0.3503
O: 0.0000 0.5000 0.3752
O: 0.5000 0.0000 0.0000
O: 0.5000 0.0000 0.3745
O: 0.5000 0.5000 0.1608

Computed properties:
Uncorrected formation energy in meV per atom: -1836
Total DFT energy (no corrections) in eV/atom: -7.105

A geometry-optimized SiHgBr2 structure, computed with GGA-PBEsol.

Cell: 3.4721 4.9445 12.7847 Å, 90.00 90.00 90.00°
Space group Immm (No. 71)
Inequivalent atoms, fractional coordinates:
Si: 0.0000 0.0000 0.0000
Hg: 0.0000 0.0000 0.5000
Br: 0.0000 0.5000 0.3396

Computed properties:
Uncorrected formation energy in meV per atom: -15
Total DFT energy (no corrections) in eV/atom: -2.529
ΔE to the lowest computed polymorph in eV per formula unit: 0.00

A geometry-optimized KSc2Pb structure, computed with GGA-PBEsol.

Cell: 3.4303 3.4303 34.4996 Å, 90.00 90.00 120.00°
Space group R-3m (No. 166, hexagonal axes)
Inequivalent atoms, fractional coordinates:
K: 0.0000 0.0000 0.0000
Sc: 0.0000 0.0000 0.2360
Pb: 0.0000 0.0000 0.5000

Computed properties:
E_form in eV per atom: 0.2012
Total DFT energy (no corrections) in eV/atom: -4.384

A geometry-optimized Tc2Os structure, computed with GGA-PBEsol.

Cell: 9.8616 2.7229 6.4096 Å, 90.00 103.84 90.00°
Space group Cm (No. 8)
Inequivalent atoms, fractional coordinates:
Tc: 0.0000 0.0000 0.0000
Tc: 0.0558 0.0000 0.6122
Tc: 0.2234 0.5000 0.9457
Tc: 0.3886 0.0000 0.2787
Os: 0.1671 0.5000 0.3342
Os: 0.3330 0.0000 0.6674

Computed properties:
E_form in eV per atom: -0.0700
Total DFT energy (no corrections) in eV/atom: -11.653
ΔE to the lowest computed polymorph in eV per formula unit: 0.01

A geometry-optimized BeAsSe4 structure, computed with GGA-PBEsol.

Cell: 7.8223 7.8223 7.8223 Å, 90.00 90.00 90.00°
Space group F-43m (No. 216)
Inequivalent atoms, fractional coordinates:
Be: 0.0000 0.0000 0.0000
As: 0.2500 0.2500 0.7500
Se: 0.1256 0.1256 0.3744

Computed properties:
Uncorrected formation energy in meV per atom: 929
Total DFT energy (no corrections) in eV/atom: -3.156

A geometry-optimized ZnMo2H2 structure, computed with GGA-PBEsol.

Cell: 3.3122 3.3122 8.9699 Å, 90.00 90.00 90.00°
Space group I4/mmm (No. 139)
Inequivalent atoms, fractional coordinates:
Zn: 0.0000 0.0000 0.0000
Mo: 0.0000 0.0000 0.3446
H: 0.0000 0.5000 0.2500

Computed properties:
Total DFT energy (no corrections) in eV/atom: -6.312

A geometry-optimized SrZnOs2 structure, computed with GGA-PBEsol.

Cell: 5.6238 9.6947 2.7499 Å, 90.00 116.37 90.00°
Space group C2/m (No. 12)
Inequivalent atoms, fractional coordinates:
Sr: 0.0000 0.0000 0.0000
Zn: 0.0000 0.5000 0.0000
Os: 0.2500 0.2500 0.5000

Computed properties:
E_form in eV per atom: 0.8672
Total DFT energy (no corrections) in eV/atom: -6.096

A geometry-optimized CaLaFeSbO6 structure, computed with GGA-PBEsol.

Cell: 5.5265 5.7427 9.5304 Å, 90.00 124.81 90.00°
Space group Pc (No. 7)
Inequivalent atoms, fractional coordinates:
Ca: 0.0000 0.1932 0.0000
La: 0.5306 0.3010 0.5003
Fe: 0.7655 0.2486 0.2501
Sb: 0.2671 0.2484 0.7516
O: 0.0224 0.4573 0.1990
O: 0.1076 0.2161 0.5009
O: 0.4160 0.2791 0.0006
O: 0.5126 0.0399 0.2998
O: 0.6118 0.4432 0.7992
O: 0.9261 0.0509 0.7040

Computed properties:
Uncorrected formation energy in meV per atom: -2249
Total DFT energy (no corrections) in eV/atom: -7.499

A geometry-optimized RbYBr2O structure, computed with GGA-PBEsol.

Cell: 5.7620 5.7620 6.2748 Å, 90.00 90.00 90.00°
Space group P4/mmm (No. 123)
Inequivalent atoms, fractional coordinates:
Rb: 0.0000 0.0000 0.0000
Y: 0.0000 0.0000 0.5000
Br: 0.0000 0.5000 0.0000
O: 0.5000 0.5000 0.5000

Computed properties:
Uncorrected formation energy in meV per atom: 613
Total DFT energy (no corrections) in eV/atom: -2.754

A geometry-optimized ReIr4Pt structure, computed with GGA-PBEsol.

Cell: 7.1424 7.1424 7.1424 Å, 90.00 90.00 90.00°
Space group F-43m (No. 216)
Inequivalent atoms, fractional coordinates:
Re: 0.0000 0.0000 0.0000
Ir: 0.1249 0.1249 0.6249
Pt: 0.2500 0.2500 0.2500

Computed properties:
E_form in eV per atom: 0.6098
Total DFT energy (no corrections) in eV/atom: -9.322

A geometry-optimized BaSnIBr2 structure, computed with GGA-PBEsol.

Cell: 5.9271 5.9271 6.4468 Å, 90.00 90.00 90.00°
Space group P4/mmm (No. 123)
Inequivalent atoms, fractional coordinates:
Ba: 0.0000 0.0000 0.0000
Sn: 0.5000 0.5000 0.0000
I: 0.0000 0.0000 0.5000
Br: 0.0000 0.5000 0.5000

Computed properties:
Uncorrected formation energy in meV per atom: -108
Total DFT energy (no corrections) in eV/atom: -2.491